1.
A relaxed K2Np2PdSe6 crystal. Source: Alexandria via LeMat-Bulk, functional PBE.

Computed properties:
Size of the total moment (Bohr magnetons per cell): 6.3
Space group: C2/m (12)
Calculated total energy (eV/f.u.): -64.9

a b c (Å): 6.9577 6.9577 8.2625
angles (deg): 97.77 97.77 120.40
With the nearest neighbours (Å) after each atom.
Positions (direct):
K (0.8369, 0.1631, 0.0000)  6 Se 3.31-3.35
K (0.1631, 0.8369, 0.0000)  6 Se 3.31-3.35
Np (0.3315, 0.6685, 0.5000)  6 Se 2.78-2.84
Np (0.6685, 0.3315, 0.5000)  6 Se 2.78-2.84
Pd (0.0000, 0.0000, 0.5000)  6 Se 2.60-2.83
Se (0.7513, 0.7513, 0.6861)  1 Pd 2.60, 2 Np 2.84
Se (0.0704, 0.4029, 0.7020)  2 Np 2.78-2.82, 1 Pd 2.83
Se (0.2487, 0.2487, 0.3139)  1 Pd 2.60, 2 Np 2.84
Se (0.4029, 0.0704, 0.7020)  2 Np 2.78-2.82, 1 Pd 2.83
Se (0.9296, 0.5971, 0.2980)  2 Np 2.78-2.82, 1 Pd 2.83
Se (0.5971, 0.9296, 0.2980)  2 Np 2.78-2.82, 1 Pd 2.83

2.
A relaxed K3Np3Te8Pd crystal. Source: Alexandria via LeMat-Bulk, functional PBE.

Computed properties:
Size of the total moment (Bohr magnetons per cell): 10.7
Space group: C2/m (12)
Calculated total energy (eV/f.u.): -83.2

a b c (Å): 8.7504 8.7463 9.8440
angles (deg): 116.35 90.02 120.00
With the nearest neighbours (Å) after each atom.
Positions (direct):
K (0.0000, 0.0000, 0.0000)  6 Te 3.50-3.56
K (0.0000, 0.5000, 0.0000)  6 Te 3.50-3.56
K (0.5000, 0.5000, 0.0000)  6 Te 3.50-3.56
Np (0.5000, 0.0000, 0.5000)  6 Te 3.08-3.10
Np (0.5000, 0.5000, 0.5000)  6 Te 3.08-3.10
Np (0.0000, 0.5000, 0.5000)  6 Te 3.08-3.10
Te (0.2623, 0.5247, 0.2870)  3 Np 3.10
Te (0.7377, 0.4753, 0.7130)  3 Np 3.10
Te (0.7785, 0.5571, 0.3054)  1 Pd 2.89, 2 Np 3.08
Te (0.2215, 0.4429, 0.6946)  1 Pd 2.89, 2 Np 3.08
Te (0.7795, 0.0266, 0.3061)  1 Pd 2.87, 2 Np 3.08
Te (0.2205, 0.9734, 0.6939)  1 Pd 2.87, 2 Np 3.08
Te (0.2473, 0.0267, 0.3059)  1 Pd 2.88, 2 Np 3.08
Te (0.7527, 0.9733, 0.6941)  1 Pd 2.88, 2 Np 3.08
Pd (0.0000, 0.0000, 0.5000)  6 Te 2.87-2.89

3.
A relaxed KNp3Te6Pd2 crystal. Source: Alexandria via LeMat-Bulk, functional PBE.

Computed properties:
Size of the total moment (Bohr magnetons per cell): 10.0
Space group: C2/m (12)
Calculated total energy (eV/f.u.): -76.5

a b c (Å): 4.4206 10.2650 10.8037
angles (deg): 112.19 101.81 90.00
With the nearest neighbours (Å) after each atom.
Positions (direct):
K (0.5000, 0.0000, 0.0000)  6 Te 3.55-3.56
Np (0.5000, 0.5000, 0.0000)  4 Pd 3.02, 6 Te 3.24-3.31
Np (0.8328, 0.1645, 0.6656)  6 Te 3.05-3.11, 1 Pd 3.11
Np (0.1672, 0.8355, 0.3344)  6 Te 3.05-3.11, 1 Pd 3.11
Te (0.3236, 0.9495, 0.6472)  3 Np 3.05-3.08
Te (0.6695, 0.6242, 0.3389)  2 Pd 2.68
Te (0.6764, 0.0505, 0.3528)  3 Np 3.05-3.08
Te (0.9897, 0.2623, 0.9794)  1 Pd 2.67
Te (0.0103, 0.7377, 0.0206)  1 Pd 2.67
Te (0.3305, 0.3758, 0.6611)  2 Pd 2.68
Pd (0.9017, 0.4927, 0.8034)  3 Te 2.67-2.68
Pd (0.0983, 0.5073, 0.1966)  3 Te 2.67-2.68

4.
A relaxed KNpTe2Pd crystal. Source: Alexandria via LeMat-Bulk, functional PBE.

Computed properties:
Size of the total moment (Bohr magnetons per cell): 8.0
Space group: P2/c (13)
Calculated total energy (eV/f.u.): -28.7

a b c (Å): 4.7594 8.9624 8.0999
angles (deg): 98.78 90.00 90.00
With the nearest neighbours (Å) after each atom.
Positions (direct):
K (0.1960, 0.5000, 0.7500)  6 Te 3.52-3.55
K (0.8040, 0.5000, 0.2500)  6 Te 3.52-3.55
Np (0.4934, 0.0000, 0.2500)  4 Pd 3.10-3.15, 4 Te 3.13-3.14
Np (0.5066, 0.0000, 0.7500)  4 Pd 3.10-3.15, 4 Te 3.13-3.14
Te (0.7003, 0.7519, 0.9613)  1 Pd 2.62
Te (0.7003, 0.2481, 0.5387)  1 Pd 2.62
Te (0.2997, 0.7519, 0.4613)  1 Pd 2.62
Te (0.2997, 0.2481, 0.0387)  1 Pd 2.62
Pd (0.0000, 0.0000, 0.0000)  2 Te 2.62
Pd (0.0000, 0.0000, 0.5000)  2 Te 2.62

Among the records above, which one has the lowest calculated total energy?
K3Np3Te8Pd

Number 3 is which compound?
KNp3Te6Pd2

Which value of calculated total energy does entry 4 give?
-28.7 eV/f.u.